Entry from Alexandria via LeMat-Bulk: crystalline TaTcBi2 at its relaxed geometry (PBE).

Lattice parameters (Å, degrees): 4.9142 4.9142 4.9142 60.00 60.00 60.00
Closest atoms and distances in Å follow each position.
Element x y z (fractional)
Bi: 0.7500 0.7500 0.7500  4 Ta 3.01, 4 Tc 3.01
Ta: 0.5000 0.5000 0.5000  8 Bi 3.01
Tc: 0.0000 0.0000 0.0000  8 Bi 3.01
Bi: 0.2500 0.2500 0.2500  4 Ta 3.01, 4 Tc 3.01

Computed properties:
E above lowest polymorph = 0 meV/atom
Crystal system = cubic
E_tot = -6.8070 eV/atom
Formation energy = 688.2 meV per atom
Symmetry = Fm-3m, No. 225